# 1
! RbLaMoPd (PBE-GGA, relaxed); values from VASP
&SYSTEM
  ibrav = 0, nat = 12, ntyp = 4
/
ATOMIC_SPECIES
Rb 85.47 Rb.upf
La 138.91 La.upf
Mo 95.94 Mo.upf
Pd 106.42 Pd.upf
ATOMIC_POSITIONS crystal
Rb 0.0000 0.0000 0.0000
Rb 0.3333 0.6667 0.6667
Rb 0.6667 0.3333 0.3333
La 0.0000 0.0000 0.1787
La 0.3333 0.6667 0.8454
La 0.6667 0.3333 0.5121
Mo 0.0000 0.0000 0.7799
Mo 0.3333 0.6667 0.4466
Mo 0.6667 0.3333 0.1133
Pd 0.0000 0.0000 0.4294
Pd 0.3333 0.6667 0.0961
Pd 0.6667 0.3333 0.7627
CELL_PARAMETERS angstrom
4.2926 0.0000 0.0000
-2.1463 3.7175 0.0000
0.0000 0.0000 26.7588
! * ΔE to the lowest computed polymorph: 20 meV/atom
! * total magnetization: 0.1199 μB per atom
! * E: -5.03 eV per atom
! * crystal system: trigonal

# 2
! RbLaMoPd (PBE-GGA, relaxed); values from VASP
&SYSTEM
  ibrav = 0, nat = 8, ntyp = 4
/
ATOMIC_SPECIES
Rb 85.47 Rb.upf
La 138.91 La.upf
Mo 95.94 Mo.upf
Pd 106.42 Pd.upf
ATOMIC_POSITIONS crystal
Rb 0.0000 0.0000 0.0000
Rb 0.5000 0.5000 0.0000
La 0.3345 0.5000 0.4698
La 0.8345 0.0000 0.4698
Mo 0.0615 0.5000 0.6647
Mo 0.5615 0.0000 0.6647
Pd 0.2447 0.0000 0.7157
Pd 0.7447 0.5000 0.7157
CELL_PARAMETERS angstrom
7.4408 0.0000 0.0000
0.0000 4.2778 0.0000
-2.3175 0.0000 9.0492
! * ΔE to the lowest computed polymorph: 23 meV/atom
! * total magnetization: 0.0217 μB per atom
! * E: -5.03 eV per atom
! * crystal system: monoclinic

# 3
! La2MoPdSe (PBE-GGA, relaxed); values from VASP
&SYSTEM
  ibrav = 0, nat = 5, ntyp = 4
/
ATOMIC_SPECIES
La 138.91 La.upf
Mo 95.94 Mo.upf
Pd 106.42 Pd.upf
Se 78.96 Se.upf
ATOMIC_POSITIONS crystal
La 0.0000 0.5000 0.0000
La 0.5000 0.0000 0.0000
Mo 0.0000 0.0000 0.5000
Pd 0.5000 0.5000 0.5000
Se 0.5000 0.5000 0.0000
CELL_PARAMETERS angstrom
5.6884 0.0000 0.0000
0.0000 5.6884 0.0000
0.0000 0.0000 4.6507
! * formation energy (no corrections): 0.1194 eV per atom
! * total magnetization: 0.6325 μB per atom
! * E: -5.75 eV per atom
! * crystal system: tetragonal

# 4
! La2TcMoPd (PBE-GGA, relaxed); values from VASP
&SYSTEM
  ibrav = 0, nat = 5, ntyp = 4
/
ATOMIC_SPECIES
La 138.91 La.upf
Tc 98.00 Tc.upf
Mo 95.94 Mo.upf
Pd 106.42 Pd.upf
ATOMIC_POSITIONS crystal
La 0.0000 0.5000 0.0000
La 0.5000 0.0000 0.0000
Tc 0.0000 0.0000 0.0000
Mo 0.0000 0.0000 0.5000
Pd 0.5000 0.5000 0.5000
CELL_PARAMETERS angstrom
5.4772 0.0000 0.0000
0.0000 5.4772 0.0000
0.0000 0.0000 4.6166
! * total magnetization: 0.0010 μB per atom
! * E: -6.75 eV per atom
! * crystal system: tetragonal

# 5
! La2TiMoPd (PBE-GGA, relaxed); values from VASP
&SYSTEM
  ibrav = 0, nat = 5, ntyp = 4
/
ATOMIC_SPECIES
La 138.91 La.upf
Ti 47.87 Ti.upf
Mo 95.94 Mo.upf
Pd 106.42 Pd.upf
ATOMIC_POSITIONS crystal
La 0.0000 0.5000 0.0000
La 0.5000 0.0000 0.0000
Ti 0.0000 0.0000 0.0000
Mo 0.5000 0.5000 0.5000
Pd 0.0000 0.0000 0.5000
CELL_PARAMETERS angstrom
5.5324 0.0000 0.0000
0.0000 5.5324 0.0000
0.0000 0.0000 4.5923
! * total magnetization: 0.6903 μB per atom
! * E: -5.84 eV per atom
! * crystal system: tetragonal

# 6
! LaMo2Pt (PBE-GGA, relaxed); values from VASP
&SYSTEM
  ibrav = 0, nat = 8, ntyp = 3
/
ATOMIC_SPECIES
La 138.91 La.upf
Mo 95.94 Mo.upf
Pt 195.08 Pt.upf
ATOMIC_POSITIONS crystal
La 0.0000 0.0000 0.0000
La 0.5000 0.5000 0.0000
Mo 0.2228 0.0000 0.6558
Mo 0.2772 0.5000 0.3442
Mo 0.7228 0.5000 0.6558
Mo 0.7772 0.0000 0.3442
Pt 0.0000 0.5000 0.5000
Pt 0.5000 0.0000 0.5000
CELL_PARAMETERS angstrom
10.1429 0.0000 0.0000
0.0000 3.2546 0.0000
-1.0102 0.0000 5.1026
! * ΔE to the lowest computed polymorph: 154 meV/atom
! * total magnetization: 0.0000 μB per atom
! * E: -8.03 eV per atom
! * crystal system: monoclinic

# 7
! LaMo2Pt (PBE-GGA, relaxed); values from VASP
&SYSTEM
  ibrav = 0, nat = 8, ntyp = 3
/
ATOMIC_SPECIES
La 138.91 La.upf
Mo 95.94 Mo.upf
Pt 195.08 Pt.upf
ATOMIC_POSITIONS crystal
La 0.0000 0.0000 0.0000
La 0.5000 0.5000 0.0000
Mo 0.2293 0.0000 0.6834
Mo 0.4695 0.0000 0.5091
Mo 0.7293 0.5000 0.6834
Mo 0.9695 0.5000 0.5091
Pt 0.2477 0.5000 0.2740
Pt 0.7477 0.0000 0.2740
CELL_PARAMETERS angstrom
9.4484 0.0000 0.0000
0.0000 2.8597 0.0000
-0.3534 0.0000 5.7983
! * ΔE to the lowest computed polymorph: 273 meV/atom
! * total magnetization: 0.0000 μB per atom
! * E: -7.91 eV per atom
! * crystal system: monoclinic

# 8
! LaMoPt4 (PBE-GGA, relaxed); values from VASP
&SYSTEM
  ibrav = 0, nat = 6, ntyp = 3
/
ATOMIC_SPECIES
La 138.91 La.upf
Mo 95.94 Mo.upf
Pt 195.08 Pt.upf
ATOMIC_POSITIONS crystal
La 0.0000 0.0000 0.0000
Mo 0.7500 0.7500 0.7500
Pt 0.3759 0.3759 0.3759
Pt 0.3759 0.3759 0.8722
Pt 0.3759 0.8722 0.3759
Pt 0.8722 0.3759 0.3759
CELL_PARAMETERS angstrom
0.0000 3.8334 3.8334
3.8334 0.0000 3.8334
3.8334 3.8334 0.0000
! * total magnetization: 0.5771 μB per atom
! * E: -7.01 eV per atom
! * crystal system: cubic

# 9
! LaMo2Pt (PBE-GGA, relaxed); values from VASP
&SYSTEM
  ibrav = 0, nat = 8, ntyp = 3
/
ATOMIC_SPECIES
La 138.91 La.upf
Mo 95.94 Mo.upf
Pt 195.08 Pt.upf
ATOMIC_POSITIONS crystal
La 0.0000 0.0000 0.0000
La 0.5000 0.5000 0.5000
Mo 0.0000 0.5000 0.2230
Mo 0.0000 0.5000 0.7770
Mo 0.5000 0.0000 0.2770
Mo 0.5000 0.0000 0.7230
Pt 0.0000 0.0000 0.5000
Pt 0.5000 0.5000 0.0000
CELL_PARAMETERS angstrom
2.8298 0.0000 0.0000
0.0000 5.1319 0.0000
0.0000 0.0000 10.8047
! * ΔE to the lowest computed polymorph: 263 meV/atom
! * total magnetization: 0.0000 μB per atom
! * E: -7.92 eV per atom
! * crystal system: orthorhombic

# 10
! La3MoPt (PBE-GGA, relaxed); values from VASP
&SYSTEM
  ibrav = 0, nat = 5, ntyp = 3
/
ATOMIC_SPECIES
La 138.91 La.upf
Mo 95.94 Mo.upf
Pt 195.08 Pt.upf
ATOMIC_POSITIONS crystal
La 0.0000 0.0000 0.5000
La 0.0000 0.5000 0.0000
La 0.5000 0.0000 0.0000
Mo 0.0000 0.0000 0.0000
Pt 0.5000 0.5000 0.5000
CELL_PARAMETERS angstrom
5.3774 0.0000 0.0000
0.0000 5.3774 0.0000
0.0000 0.0000 5.3774
! * total magnetization: 0.0000 μB per atom
! * E: -6.14 eV per atom
! * crystal system: cubic

# 11
! LaMoPt (PBE-GGA, relaxed); values from VASP
&SYSTEM
  ibrav = 0, nat = 6, ntyp = 3
/
ATOMIC_SPECIES
La 138.91 La.upf
Mo 95.94 Mo.upf
Pt 195.08 Pt.upf
ATOMIC_POSITIONS crystal
La 0.0000 0.0000 0.0000
La 0.5000 0.5000 0.5000
Mo 0.0000 0.0000 0.6939
Mo 0.5000 0.5000 0.1939
Pt 0.0000 0.0000 0.3056
Pt 0.5000 0.5000 0.8056
CELL_PARAMETERS angstrom
3.1963 0.0000 0.0000
0.0000 3.1963 0.0000
0.0000 0.0000 12.4862
! * ΔE to the lowest computed polymorph: 143 meV/atom
! * total magnetization: 0.0000 μB per atom
! * E: -7.31 eV per atom
! * crystal system: tetragonal

# 12
! LaMoPt3 (PBE-GGA, relaxed); values from VASP
&SYSTEM
  ibrav = 0, nat = 5, ntyp = 3
/
ATOMIC_SPECIES
La 138.91 La.upf
Mo 95.94 Mo.upf
Pt 195.08 Pt.upf
ATOMIC_POSITIONS crystal
La 0.0000 0.0000 0.0000
Mo 0.5000 0.5000 0.5000
Pt 0.0000 0.5000 0.5000
Pt 0.5000 0.0000 0.5000
Pt 0.5000 0.5000 0.0000
CELL_PARAMETERS angstrom
4.8934 0.0000 0.0000
0.0000 4.8934 0.0000
0.0000 0.0000 4.8934
! * ΔE to the lowest computed polymorph: 0 meV/atom
! * total magnetization: 0.0000 μB per atom
! * E: -6.86 eV per atom
! * crystal system: cubic